1.
12
Lattice="-1.1606 3.0819 -2.3994 -4.5784 0.2740 2.5665 3.5716 5.8218 5.7499" Properties=species:S:1:pos:R:3 comment="PBE SrThCu10, relaxed" spacegroup="Pmmm, No. 47" n_ef_per_ev_cell=7.5 pbc="T T T"
Cu 1.2069 1.9673 1.9430
Cu 1.2055 4.4518 1.6753
Cu 0.8911 5.9261 3.7209
Cu -1.3360 6.0594 4.9694
Cu 2.3647 3.8545 3.8069
Cu -1.6879 1.1172 2.2514
Cu -3.0586 3.2515 2.1961
Cu -0.8315 3.1182 0.9477
Cu -2.8695 1.6779 0.0835
Cu 0.6810 4.9786 6.0651
Th -0.5034 3.0479 4.1582
Sr 0.0000 0.0000 0.0000

2.
12
Lattice="7.1842 0.0000 0.0000 -3.5921 6.4170 -3.5202 0.0000 -0.0583 7.0773" Properties=species:S:1:pos:R:3 comment="PBE MgAg3Cl8, relaxed" raw_formation_energy_ev_per_atom=-0.695 spacegroup="C2/m, No. 12" n_ef_per_ev_cell=8.2 pbc="T T T"
Cl 1.8122 0.0000 1.6841
Cl 0.0000 2.6815 -0.0315
Cl 3.5921 3.1784 -0.0645
Cl 3.5921 3.6772 3.5885
Ag -1.7960 3.2085 -1.7601
Cl -1.7799 6.3588 1.8730
Ag 1.7960 3.2085 -1.7601
Mg 0.0000 0.0000 0.0000
Ag 3.5921 0.0000 0.0000
Cl 1.7799 6.3588 1.8730
Cl 5.3720 0.0000 1.6841
Cl 0.0000 3.1804 3.6216

Sequential VASP energy output: -4.276; -2.771 eV per atom